meta-GGA SCAN Mg2InAu, single point on PBEsol structure; energy relative to the elements = -0.418 eV/atom; M_tot = 0.000 μB per formula unit
1.0
-2.357 2.426 -0.227
-2.772 -2.398 3.156
2.576 2.784 3.001
Mg Au In
2 1 1
Direct
0.000 0.000 0.500 Mg
0.000 0.500 0.000 Mg
0.500 0.500 0.500 Au
0.500 0.000 0.000 In